The following is a DFT calculation (PBE with a Hubbard U) of crystalline BaBe2VF8 at its relaxed geometry.

Cell: 4.9502 4.9502 7.8235 Å, 71.56 71.56 60.00°
Last column: nearest neighbours and their distance in Å.
Atoms (fractional coordinates):
Ba 0.5000 0.5000 0.5000  12 F 2.88-2.94
Be 0.2546 0.2546 0.2361  4 F 1.56-1.57
Be 0.7454 0.7454 0.7639  4 F 1.56-1.57
V 0.0000 0.0000 0.0000  6 F 2.13
F 0.1826 0.1826 0.4522  1 Be 1.57
F 0.5809 0.2654 0.1767  1 Be 1.56
F 0.8174 0.8174 0.5478  1 Be 1.57
F 0.9770 0.5809 0.1767  1 Be 1.56
F 0.0230 0.4191 0.8233  1 Be 1.56
F 0.2654 0.9770 0.1767  1 Be 1.56
F 0.7346 0.0230 0.8233  1 Be 1.56
F 0.4191 0.7346 0.8233  1 Be 1.56

## Properties
* size of the total moment: 3.00 μB/cell
* raw total energy: -71.4 eV per cell
* space-group type: R-3
* D(E_F): 0.00 states/eV per cell